Record 1
Here is a relaxed structure of TbCe2Tm3P6 from the Alexandria database. Energies are from PBE-GGA.

Uncorrected energy ... -0.4976 Ry/atom
Total magnetic moment ... 0.07 μB/atom
Energy of formation ... -1.5727 eV per atom
Crystal system ... monoclinic

Unit cell a=6.9418 b=12.0230 c=6.9244 alpha=90.00 beta=109.52 gamma=90.00
Space group C2/m (No. 12)
Unique sites:
1 Tb 0.0000 0.0000 0.0000
2 Ce 0.0000 0.3334 0.0000
3 Tm 0.0000 0.1667 0.5000
4 Tm 0.0000 0.5000 0.5000
5 P 0.2477 0.0000 0.7433
6 P 0.2482 0.3333 0.7446

=====

Record 2
Here is a relaxed structure of TbCe3U4P8 from the Alexandria database. Energies are from PBE-GGA.

Uncorrected energy ... -0.6003 Ry/atom
Total magnetic moment ... 0.67 μB/atom
Energy of formation ... -1.2382 eV per atom
Crystal system ... trigonal

Unit cell a=7.9604 b=7.9604 c=19.9148 alpha=90.00 beta=90.00 gamma=120.00
Space group R-3m (No. 166, hexagonal axes)
Unique sites:
1 Tb 0.0000 0.0000 0.0000
2 Ce 0.0000 0.5000 0.0000
3 U 0.0000 0.0000 0.5000
4 U 0.0000 0.5000 0.5000
5 P 0.0000 0.0000 0.2462
6 P 0.0020 0.5010 0.7533

=====

Record 3
Here is a relaxed structure of TbCe2YP4 from the Alexandria database. Energies are from PBE-GGA.

Uncorrected energy ... -0.5247 Ry/atom
Total magnetic moment ... 0.13 μB/atom
Energy of formation ... -1.5642 eV per atom
Crystal system ... monoclinic

Unit cell a=7.0098 b=4.0564 c=7.0260 alpha=90.00 beta=109.51 gamma=90.00
Space group P2/m (No. 10)
Unique sites:
1 Tb 0.0000 0.0000 0.0000
2 Ce 0.5000 0.0000 0.5000
3 Ce 0.5000 0.5000 0.0000
4 Y 0.0000 0.5000 0.5000
5 P 0.2480 0.0000 0.7490
6 P 0.2482 0.5000 0.2497

=====

Record 4
Here is a relaxed structure of Tb2CeYP4 from the Alexandria database. Energies are from PBE-GGA.

Uncorrected energy ... -0.5149 Ry/atom
Total magnetic moment ... 0.05 μB/atom
Energy of formation ... -1.5932 eV per atom
Crystal system ... monoclinic

Unit cell a=6.9848 b=4.0386 c=6.9892 alpha=90.00 beta=109.40 gamma=90.00
Space group P2/m (No. 10)
Unique sites:
1 Tb 0.0000 0.0000 0.0000
2 Tb 0.5000 0.5000 0.0000
3 Ce 0.0000 0.5000 0.5000
4 Y 0.5000 0.0000 0.5000
5 P 0.2500 0.5000 0.2508
6 P 0.2508 0.0000 0.7505